Compound: MgCoOs
Source: the Alexandria database
Functional: PBE-GGA
Structure: optimized geometry

Lattice parameters (Å, degrees): 6.903 6.694 2.672 83.12 74.29 22.60
Last column: magnetic moment on the atom in μB.
Element x y z (fractional)
Co  0.996  0.996  0.004  1.45
Mg  0.663  0.663  0.337  -0.01
Os  0.341  0.341  0.659  0.18

Results
The calculated formation energy comes out at 345 meV/atom. For the uncorrected energy, the calculation gives -0.2315 hartree per atom. The space group is Fmm2.

=====

Compound: MgCoOs2
Source: the Alexandria database
Functional: PBE-GGA
Structure: optimized geometry

Lattice parameters (Å, degrees): 4.781 4.781 2.656 90.00 90.00 113.76
Last column: magnetic moment on the atom in μB.
Element x y z (fractional)
Co  0.500  0.000  0.500  0.73
Mg  0.000  0.500  0.500  0.00
Os  0.500  0.500  0.000  -0.04
Os  0.000  0.000  0.000  -0.04

Results
The calculated formation energy comes out at 381 meV/atom. For the uncorrected energy, the calculation gives -0.2723 hartree per atom. The space group is Cmmm.

=====

Compound: MgCoOs2
Source: the Alexandria database
Functional: PBE-GGA
Structure: optimized geometry

Lattice parameters (Å, degrees): 2.876 4.434 4.414 90.00 90.00 90.00
Last column: magnetic moment on the atom in μB.
Element x y z (fractional)
Mg  0.000  0.500  0.500  -0.01
Co  0.500  0.000  0.500  1.42
Os  0.500  0.500  0.000  0.08
Os  0.000  0.000  0.000  0.28

Results
The calculated formation energy comes out at 309 meV/atom. For the uncorrected energy, the calculation gives -0.2749 hartree per atom. The space group is Pmmm.

=====

Compound: MgCo2Os
Source: the Alexandria database
Functional: PBE-GGA
Structure: optimized geometry

Lattice parameters (Å, degrees): 4.222 4.222 4.222 60.00 60.00 60.00
Last column: magnetic moment on the atom in μB.
Element x y z (fractional)
Os  0.750  0.750  0.750  0.98
Co  0.250  0.250  0.250  1.60
Co  0.000  0.000  0.000  2.01
Mg  0.500  0.500  0.500  0.01

Results
The calculated formation energy comes out at 375 meV/atom. For the uncorrected energy, the calculation gives -0.2346 hartree per atom. The space group is F-43m.